{"formula": "Y2CrSi", "functional": "PBE-GGA", "state": "relaxed", "cell": [[4.7267, 0.0029, 0.0000], [-0.0058, 4.7267, 0.0000], [0.0000, 0.0000, 3.9589]], "species": ["Y", "Y", "Cr", "Si"], "fractional_positions": [[0.0000, 0.0000, 0.0000], [0.5000, 0.5000, 0.0000], [0.5000, 0.0000, 0.5000], [0.0000, 0.5000, 0.5000]], "e_form_raw_mev_per_atom": -112, "m_tot_mub_per_cell": 3.61, "space_group": "P4/mmm, No. 123", "e_tot_ev_per_atom": -7.105}

{"formula": "Pm5Nd2SmY", "functional": "PBE-GGA", "state": "relaxed", "cell": [[-0.4382, 4.4259, 7.5867], [6.1267, -5.2890, 3.4394], [2.9402, 5.4468, -8.1047]], "species": ["Pm", "Pm", "Pm", "Pm", "Pm", "Pm", "Pm", "Pm", "Pm", "Pm", "Sm", "Sm", "Y", "Y", "Nd", "Nd", "Nd", "Nd"], "fractional_positions": [[0.6467, 0.1467, 0.7196], [0.9271, 0.4271, 0.2804], [0.5000, 0.5000, 0.0000], [0.8533, 0.9271, 0.2804], [0.3533, 0.8533, 0.2804], [0.5729, 0.6467, 0.7196], [0.0729, 0.5729, 0.7196], [0.0000, 0.0000, 0.0000], [0.4271, 0.3533, 0.2804], [0.1467, 0.0729, 0.7196], [0.2500, 0.2500, 0.5000], [0.7500, 0.7500, 0.5000], [0.2500, 0.7500, 0.5000], [0.7500, 0.2500, 0.5000], [0.3813, 0.8813, 0.0000], [0.1187, 0.3813, 0.0000], [0.6187, 0.1187, 0.0000], [0.8813, 0.6187, 0.0000]], "m_tot_mub_per_cell": 0.00, "space_group": "I4/mcm, No. 140", "e_tot_ev_per_atom": -4.673}

{"formula": "SrSmCdPb", "functional": "PBE-GGA", "state": "relaxed", "cell": [[5.6042, 0.0000, 0.0000], [2.8021, 4.8534, 0.0000], [2.8021, 1.6178, 4.5758]], "species": ["Sm", "Sr", "Cd", "Pb"], "fractional_positions": [[0.5000, 0.5000, 0.5000], [0.0000, 0.0000, 0.0000], [0.7500, 0.7500, 0.7500], [0.2500, 0.2500, 0.2500]], "m_tot_mub_per_cell": 0.00, "space_group": "F-43m, No. 216", "e_tot_ev_per_atom": -3.143}

{"formula": "KCuBr2", "functional": "PBE-GGA", "state": "relaxed", "cell": [[-7.6477, -0.1162, 1.1485], [-5.2621, -4.6963, 3.1741], [6.7196, 3.8241, 0.2077]], "species": ["Cu", "K", "Br", "Br"], "fractional_positions": [[0.5561, 0.5561, 0.0000], [0.2971, 0.7971, 0.5000], [0.6762, 0.1762, 0.5000], [0.9705, 0.9705, 0.0000]], "e_form_raw_mev_per_atom": -744, "m_tot_mub_per_cell": 0.00, "space_group": "Imm2, No. 44", "e_above_lowest_polymorph_ev_per_fu": 1.01, "e_tot_ev_per_atom": -2.879}